# 1
Entry from the Alexandria database: crystalline La4NiOs at its relaxed geometry (PBE).

Structure (extended XYZ):
```
6
Lattice="0.000 4.299 4.299 4.299 0.000 4.299 4.299 4.299 0.000" Properties=species:S:1:pos:R:3 pbc="T T T"
La 3.219 5.379 5.379
La 5.379 5.379 3.219
La 5.379 3.219 5.379
La 3.219 3.219 3.219
Ni 6.449 6.449 6.449
Os 0.000 0.000 0.000
```

Properties
Total energy   -5.1063 eV per atom
Space group   No. 216
Formation enthalpy at 0 K   6.1 eV per formula unit

=====

# 2
Entry from the Alexandria database: crystalline La2NiOs at its relaxed geometry (PBE).

Structure (extended XYZ):
```
4
Lattice="-2.275 -1.232 3.317 1.163 -3.905 -0.652 4.939 -1.201 2.942" Properties=species:S:1:pos:R:3 pbc="T T T"
Ni 3.264 -3.284 1.019
Os 3.239 -3.714 3.510
La 5.623 -4.933 2.024
La 0.856 -2.067 2.487
```

Properties
Total energy   -6.8811 eV per atom
Space group   No. 6
Formation enthalpy at 0 K   -0.7 eV per formula unit

=====

# 3
Entry from the Alexandria database: crystalline LaNiP2Os at its relaxed geometry (PBE).

Structure (extended XYZ):
```
5
Lattice="-0.478 -2.789 2.574 -2.525 -1.703 -2.314 5.870 -0.819 -2.640" Properties=species:S:1:pos:R:3 pbc="T T T"
La 0.000 0.000 0.000
Ni 0.922 -2.384 -2.412
P -0.293 -3.094 -0.565
P 3.160 -2.217 -1.816
Os 1.945 -2.927 0.032
```

Properties
Total energy   -7.4000 eV per atom
Space group   No. 119
Formation enthalpy at 0 K   -4.2 eV per formula unit

=====

# 4
Entry from the Alexandria database: crystalline LaNiPOs2 at its relaxed geometry (PBE).

Structure (extended XYZ):
```
5
Lattice="4.512 0.000 0.000 0.000 4.378 0.000 0.000 0.000 4.512" Properties=species:S:1:pos:R:3 pbc="T T T"
Ni 0.000 2.189 0.000
Os 0.000 0.000 2.256
Os 2.256 0.000 0.000
P 0.000 0.000 0.000
La 2.256 2.189 2.256
```

Properties
Total energy   -7.7051 eV per atom
Space group   No. 123
Formation enthalpy at 0 K   0.1 eV per formula unit

=====

# 5
Entry from the Alexandria database: crystalline La6NiOsPb2 at its relaxed geometry (PBE).

Structure (extended XYZ):
```
10
Lattice="-2.366 -5.114 5.341 2.246 -5.732 -4.962 5.033 5.485 1.917" Properties=species:S:1:pos:R:3 pbc="T T T"
La 0.522 -8.150 0.353
La 2.377 -4.786 1.382
La 4.389 2.784 1.937
La 3.666 0.021 4.596
La 2.535 -0.579 0.909
La 1.248 -5.388 -2.304
Ni 5.032 5.481 1.915
Os 4.972 0.060 2.104
Pb 1.296 -2.512 3.710
Pb 3.616 -2.855 -1.418
```

Properties
Total energy   -5.7625 eV per atom
Space group   No. 2
Formation enthalpy at 0 K   -3.6 eV per formula unit

=====

# 6
Entry from the Alexandria database: crystalline LaPmNiOs at its relaxed geometry (PBE).

Structure (extended XYZ):
```
4
Lattice="-3.018 -0.465 -3.942 -0.145 -4.290 -2.537 -4.029 -2.925 0.276" Properties=species:S:1:pos:R:3 pbc="T T T"
Ni -1.798 -1.920 -1.551
La 0.000 0.000 0.000
Os -5.393 -5.759 -4.652
Pm -3.596 -3.840 -3.101
```

Properties
Total energy   -6.7578 eV per atom
Space group   No. 216
Formation enthalpy at 0 K   -0.3 eV per formula unit

=====

# 7
Entry from the Alexandria database: crystalline LaNi2OsPt at its relaxed geometry (PBE).

Structure (extended XYZ):
```
5
Lattice="4.515 0.000 0.000 0.000 4.867 0.000 0.000 0.000 4.515" Properties=species:S:1:pos:R:3 pbc="T T T"
Ni 0.000 0.000 2.257
Ni 2.257 0.000 0.000
Os 0.000 2.433 0.000
Pt 2.257 2.433 2.257
La 0.000 0.000 0.000
```

Properties
Total energy   -4.9616 eV per atom
Space group   No. 123
Formation enthalpy at 0 K   9.0 eV per formula unit

=====

# 8
Entry from the Alexandria database: crystalline La8NiOsRh2 at its relaxed geometry (PBE).

Structure (extended XYZ):
```
12
Lattice="6.844 -0.025 -0.004 0.013 6.759 -0.008 0.005 0.010 8.518" Properties=species:S:1:pos:R:3 pbc="T T T"
La 1.159 5.253 2.111
La 4.602 4.909 -0.009
La 5.701 1.486 2.113
La 5.704 1.491 6.395
La 2.260 1.836 8.514
La 1.161 5.258 6.393
La 4.607 4.891 4.250
La 2.256 1.854 4.255
Ni 0.003 0.005 4.259
Os 0.000 0.000 0.000
Rh 3.432 3.375 6.358
Rh 3.430 3.370 2.148
```

Properties
Total energy   -6.2933 eV per atom
Space group   No. 10
Formation enthalpy at 0 K   -4.4 eV per formula unit

=====

# 9
Entry from the Alexandria database: crystalline LaNiSbOs2 at its relaxed geometry (PBE).

Structure (extended XYZ):
```
5
Lattice="4.931 0.000 0.000 0.000 4.625 0.000 0.000 0.000 4.931" Properties=species:S:1:pos:R:3 pbc="T T T"
Ni 0.000 2.312 0.000
Sb 0.000 0.000 0.000
Os 0.000 0.000 2.466
Os 2.466 0.000 0.000
La 2.466 2.312 2.466
```

Properties
Total energy   -6.5596 eV per atom
Space group   No. 123
ΔE_f (raw)   433.5 kJ/mol of formula units

=====

# 10
Entry from the Alexandria database: crystalline LaSi3NiOs at its relaxed geometry (PBE).

Structure (extended XYZ):
```
12
Lattice="5.767 0.000 0.000 0.000 6.282 0.000 0.000 -3.141 6.140" Properties=species:S:1:pos:R:3 pbc="T T T"
La 4.325 0.000 3.042
La 1.442 3.141 3.098
Si 1.442 0.000 2.729
Si 0.000 1.897 0.000
Si 2.883 4.385 0.000
Si 2.883 1.897 0.000
Si 0.000 4.385 0.000
Si 4.325 3.141 3.411
Ni 1.442 0.000 4.838
Ni 4.325 3.141 1.301
Os 1.442 0.000 0.500
Os 4.325 3.141 5.640
```

Properties
Total energy   -6.7800 eV per atom
Space group   No. 63
ΔE_f (raw)   -238.5 kJ/mol of formula units

=====

# 11
Entry from the Alexandria database: crystalline La2Si4Ni3Os at its relaxed geometry (PBE).

Structure (extended XYZ):
```
10
Lattice="4.090 0.000 0.000 0.000 4.090 0.000 0.000 0.000 9.913" Properties=species:S:1:pos:R:3 pbc="T T T"
La 2.045 0.000 2.379
La 0.000 2.045 7.534
Si 2.045 2.045 0.000
Si 0.000 0.000 0.000
Si 2.045 0.000 6.235
Si 0.000 2.045 3.678
Ni 0.000 0.000 4.956
Ni 2.045 0.000 8.712
Ni 0.000 2.045 1.201
Os 2.045 2.045 4.956
```

Properties
Total energy   -6.7786 eV per atom
Space group   No. 115
ΔE_f (raw)   -739.6 kJ/mol of formula units

=====

# 12
Entry from the Alexandria database: crystalline LaSi2NiOs at its relaxed geometry (PBE).

Structure (extended XYZ):
```
5
Lattice="-3.588 -1.814 0.642 1.149 -3.109 -2.364 3.193 0.031 5.019" Properties=species:S:1:pos:R:3 pbc="T T T"
La 0.000 0.000 0.000
Si -0.702 -3.099 0.228
Si 1.456 -1.794 3.068
Ni -0.807 -2.123 2.400
Os 1.561 -2.770 0.897
```

Properties
Total energy   -7.2791 eV per atom
Space group   No. 119
ΔE_f (raw)   -348.4 kJ/mol of formula units